# 1
This record from Alexandria via LeMat-Bulk describes a relaxed structure of Na3MgNp3N8. The functional is PBE.

Cell and atoms, written as CIF:
```
data_Na3MgNp3N8
_space_group_name_H-M_alt 'R -3 m'
_space_group_IT_number 166
_space_group_name_Hall '-R 3 2"'
_cell_length_a 6.7732
_cell_length_b 6.7732
_cell_length_c 16.8967
_cell_angle_alpha 90.00
_cell_angle_beta 90.00
_cell_angle_gamma 120.00
loop_
_atom_site_label
_atom_site_fract_x
_atom_site_fract_y
_atom_site_fract_z
Na1 0.0000 0.5000 0.0000
Mg1 0.0000 0.0000 0.5000
Np1 0.0000 0.5000 0.5000
N1 0.0000 0.0000 0.2302
N2 0.0229 0.5114 0.7765
```

Output
calculated total energy = -8.074 eV per atom
ΔE_f (raw) = -0.68 eV per atom
mass density = 6800 kg/m3

# 2
This record from Alexandria via LeMat-Bulk describes a relaxed structure of Na3MgPa2N6. The functional is PBE.

Cell and atoms, written as CIF:
```
data_Na3MgPa2N6
_space_group_name_H-M_alt 'C 1 2/m 1'
_space_group_IT_number 12
_cell_length_a 6.159
_cell_length_b 9.873
_cell_length_c 6.200
_cell_angle_alpha 90.00
_cell_angle_beta 111.85
_cell_angle_gamma 90.00
loop_
_space_group_symop_operation_xyz
'x,y,z'
'-x,-y,-z'
'-x,y,-z'
'x,-y,z'
'x+1/2,y+1/2,z'
'-x+1/2,-y+1/2,-z'
'-x+1/2,y+1/2,-z'
'x+1/2,-y+1/2,z'
loop_
_atom_site_label
_atom_site_fract_x
_atom_site_fract_y
_atom_site_fract_z
Na1 0.000 0.000 0.000
Na2 0.000 0.339 0.000
Mg1 0.000 0.500 0.500
Pa1 0.000 0.171 0.500
N1 0.210 0.000 0.705
N2 0.227 0.326 0.697
```

Output
calculated total energy = -6.867 eV per atom
ΔE_f (raw) = -0.66 eV per atom
mass density = 6068 kg/m3